A plane-wave DFT calculation with GGA+U was carried out for a relaxed Na3VS2O2 crystal.

CIF file:
```
data_Na3VS2O2
_symmetry_space_group_name_H-M 'P 1'
_symmetry_Int_Tables_number 1
_symmetry_space_group_name_Hall 'P 1'
_cell_length_a 5.988
_cell_length_b 11.734
_cell_length_c 17.952
_cell_angle_alpha 90.00
_cell_angle_beta 90.00
_cell_angle_gamma 90.00
loop_
_atom_site_label
_atom_site_type_symbol
_atom_site_fract_x
_atom_site_fract_y
_atom_site_fract_z
Na1 Na 0.287 0.378 0.263
Na2 Na 0.713 0.122 0.763
Na3 Na 0.147 0.830 0.046
Na4 Na 0.713 0.622 0.737
Na5 Na 0.240 0.627 0.902
Na6 Na 0.260 0.627 0.402
Na7 Na 0.353 0.330 0.954
Na8 Na 0.787 0.622 0.237
Na9 Na 0.213 0.378 0.763
Na10 Na 0.353 0.830 0.546
Na11 Na 0.760 0.873 0.402
Na12 Na 0.240 0.127 0.598
Na13 Na 0.787 0.122 0.263
Na14 Na 0.147 0.330 0.454
Na15 Na 0.260 0.127 0.098
Na16 Na 0.647 0.670 0.046
Na17 Na 0.740 0.373 0.598
Na18 Na 0.853 0.670 0.546
Na19 Na 0.213 0.878 0.737
Na20 Na 0.740 0.873 0.902
Na21 Na 0.760 0.373 0.098
Na22 Na 0.287 0.878 0.237
Na23 Na 0.647 0.170 0.454
Na24 Na 0.853 0.170 0.954
V1 V 0.832 0.442 0.887
V2 V 0.332 0.558 0.613
V3 V 0.168 0.058 0.387
V4 V 0.332 0.058 0.887
V5 V 0.832 0.942 0.613
V6 V 0.668 0.942 0.113
V7 V 0.668 0.442 0.387
V8 V 0.168 0.558 0.113
S1 S 0.794 0.372 0.281
S2 S 0.706 0.872 0.719
S3 S 0.228 0.376 0.604
S4 S 0.728 0.124 0.604
S5 S 0.272 0.876 0.396
S6 S 0.206 0.128 0.781
S7 S 0.706 0.372 0.781
S8 S 0.728 0.624 0.896
S9 S 0.206 0.628 0.719
S10 S 0.272 0.376 0.104
S11 S 0.772 0.624 0.396
S12 S 0.228 0.876 0.896
S13 S 0.294 0.128 0.281
S14 S 0.772 0.124 0.104
S15 S 0.294 0.628 0.219
S16 S 0.794 0.872 0.219
O1 O 0.265 0.639 0.040
O2 O 0.117 0.938 0.615
O3 O 0.617 0.062 0.885
O4 O 0.383 0.438 0.385
O5 O 0.883 0.062 0.385
O6 O 0.235 0.639 0.540
O7 O 0.265 0.139 0.460
O8 O 0.735 0.361 0.960
O9 O 0.765 0.861 0.040
O10 O 0.883 0.562 0.115
O11 O 0.765 0.361 0.460
O12 O 0.383 0.938 0.115
O13 O 0.235 0.139 0.960
O14 O 0.617 0.562 0.615
O15 O 0.117 0.438 0.885
O16 O 0.735 0.861 0.540
```

Properties
- D(E_F) (states/eV per atom) = 0.00
- calculated total energy (eV per atom) = -5.128
- calculated volume (A^3/atom) = 19.7
- total moment (μB per cell) = 0.0